# 1
Entry from Alexandria: a relaxed structure of LiAc5Hg6 (PBE-GGA).

```
12
Lattice="-4.197 -3.511 -1.240 5.367 0.923 -8.126 4.069 -3.308 8.258" Properties=species:S:1:pos:R:3 pbc="T T T"
Ac 3.061 -1.509 -6.128
Hg 1.488 -0.757 -2.900
Hg 4.168 -3.781 -3.468
Ac 4.497 -1.912 2.852
Ac 4.939 -0.473 -2.720
Hg -0.826 -3.199 -0.892
Ac 2.619 -2.948 -0.554
Ac 2.178 -4.388 5.020
Li 0.000 0.000 0.000
Hg 1.071 -2.115 2.360
Hg 6.065 -2.697 -0.216
Hg 3.751 -5.140 1.792
```

Space-group type: No. 12

=====

# 2
Entry from Alexandria: a relaxed structure of Li4AcHg8 (PBE-GGA).

```
13
Lattice="-0.516 4.810 2.854 -3.559 -1.077 6.697 6.024 1.212 4.574" Properties=species:S:1:pos:R:3 pbc="T T T"
Hg -0.279 -0.294 5.971
Hg 1.561 3.553 10.873
Hg 0.388 1.391 3.252
Hg 3.688 3.120 6.461
Hg -1.739 1.824 7.664
Hg 1.445 1.735 8.390
Hg 2.744 0.429 5.301
Ac 0.000 0.000 0.000
Li -1.779 -0.539 3.349
Li -2.038 1.866 4.776
Li 2.754 3.011 3.714
Li 3.012 0.606 2.287
Hg 0.504 3.210 5.735
```

Space-group type: No. 139

=====

# 3
Entry from Alexandria: a relaxed structure of Li12Ac2Hg7 (PBE-GGA).

```
21
Lattice="4.497 0.000 0.000 0.000 9.245 -5.337 0.000 0.000 10.675" Properties=species:S:1:pos:R:3 pbc="T T T"
Li 0.000 0.458 5.162
Ac 0.000 6.163 0.000
Li 2.249 6.150 -3.129
Li 2.249 3.460 1.576
Hg 0.000 1.101 8.103
Hg 0.000 3.081 5.337
Hg 0.000 6.467 5.670
Hg 2.249 6.196 2.611
Li 0.000 4.545 3.153
Li 2.249 1.963 3.973
Li 2.249 2.459 6.988
Li 2.249 8.879 1.553
Li 2.249 4.823 5.051
Li 0.000 7.640 3.171
Li 0.000 4.241 7.697
Ac 2.249 0.000 0.000
Li 0.000 8.171 -2.865
Hg 0.000 1.677 2.239
Li 0.000 2.678 -0.307
Hg 2.249 8.407 -1.334
Hg 2.249 3.885 -1.276
```

Space-group type: No. 174

=====

# 4
Entry from Alexandria: a relaxed structure of Li5Ac3Hg6 (PBE-GGA).

```
28
Lattice="4.878 0.000 0.000 0.000 9.880 0.000 0.000 0.000 14.551" Properties=species:S:1:pos:R:3 pbc="T T T"
Hg 2.439 3.751 12.464
Hg 0.000 9.435 2.220
Hg 0.000 6.129 5.189
Ac 2.439 7.260 3.077
Li 2.439 0.920 2.358
Li 0.000 5.251 1.552
Hg 2.439 0.445 9.496
Li 0.000 5.251 12.999
Li 2.439 4.629 5.724
Li 2.439 0.920 12.193
Ac 0.000 2.620 10.352
Hg 2.439 0.445 5.055
Hg 2.439 9.296 0.000
Hg 0.000 0.584 7.275
Hg 0.000 3.941 7.275
Hg 0.000 9.435 12.331
Li 2.439 2.172 7.275
Ac 0.000 2.080 0.000
Li 0.000 8.960 9.633
Hg 2.439 3.751 2.087
Ac 2.439 7.260 11.474
Hg 2.439 5.939 0.000
Ac 0.000 2.620 4.199
Li 0.000 8.960 4.918
Li 0.000 7.708 0.000
Ac 2.439 7.800 7.275
Li 2.439 4.629 8.827
Hg 0.000 6.129 9.362
```

Space-group type: No. 59

=====

# 5
Entry from Alexandria: a relaxed structure of Li6AcHg12 (PBE-GGA).

```
19
Lattice="7.963 -0.113 -0.160 -2.084 7.687 -0.160 -2.084 -2.684 7.205" Properties=species:S:1:pos:R:3 pbc="T T T"
Li 4.444 1.296 1.824
Hg 1.898 6.406 0.630
Hg 1.750 4.881 4.092
Hg 5.735 3.426 0.630
Hg 1.750 2.254 5.957
Li 3.642 4.691 1.916
Li 0.154 0.198 4.969
Hg -0.499 1.984 2.793
Li 3.642 0.263 5.061
Hg 2.045 2.635 0.928
Ac 0.000 0.000 0.000
Hg 1.898 -1.517 6.255
Hg -1.940 1.463 6.255
Li -0.648 3.593 5.061
Hg 5.735 -0.535 3.443
Li 0.154 4.626 1.824
Hg 2.045 0.008 2.793
Hg 4.295 2.905 4.092
Hg -1.940 5.424 3.443
```

Space-group type: No. 166

=====

# 6
Entry from Alexandria: a relaxed structure of LiAcHg (PBE-GGA).

```
3
Lattice="-4.412 0.793 -2.703 -3.851 -3.541 0.179 -4.453 1.101 2.522" Properties=species:S:1:pos:R:3 pbc="T T T"
Ac -6.358 -0.824 -0.001
Li 0.000 0.000 0.000
Hg -3.179 -0.412 -0.001
```

Energy above the lowest structure with this stoichiometry in meV per atom: 183.6
Space-group type: No. 216

=====

# 7
Entry from Alexandria: a relaxed structure of Li2AcHg (PBE-GGA).

```
4
Lattice="-5.343 -0.956 -0.496 0.455 -0.159 -4.593 0.791 -4.544 0.235" Properties=species:S:1:pos:R:3 pbc="T T T"
Li 0.396 -2.272 0.118
Ac -2.048 -2.829 -2.427
Hg -2.672 -0.478 -0.248
Li 0.227 -0.079 -2.297
```

Energy above the lowest structure with this stoichiometry in meV per atom: 200.5
Space-group type: No. 123

=====

# 8
Entry from Alexandria: a relaxed structure of Li5AcHg7 (PBE-GGA).

```
13
Lattice="5.502 0.000 0.000 2.751 7.119 -0.073 2.751 -0.096 7.119" Properties=species:S:1:pos:R:3 pbc="T T T"
Li 1.405 -0.039 3.507
Li 4.097 3.507 -0.028
Li 8.253 5.343 5.361
Hg 8.253 2.475 4.745
Ac 5.502 0.064 0.064
Li 1.405 3.507 -0.028
Hg 5.502 1.172 5.570
Hg 5.502 5.566 1.190
Hg 8.253 4.737 2.490
Hg 5.502 2.528 2.536
Li 4.097 -0.039 3.507
Hg 5.502 4.705 4.720
Hg 2.751 1.587 1.593
```

Space-group type: No. 44

=====

# 9
Entry from Alexandria: a relaxed structure of Li4Ac5Hg4 (PBE-GGA).

```
13
Lattice="-3.393 3.493 -1.063 -7.702 -2.621 4.285 0.748 6.307 6.650" Properties=species:S:1:pos:R:3 pbc="T T T"
Ac -1.327 2.966 2.296
Li -6.640 5.970 5.754
Li -3.707 1.209 4.118
Hg -9.038 3.244 4.451
Hg -5.587 4.084 7.879
Ac -9.020 4.212 7.575
Li -6.254 2.720 5.529
Hg -4.760 3.095 1.993
Hg -1.309 3.935 5.421
Ac -3.191 6.207 7.208
Li -4.092 4.459 4.343
Ac 0.000 0.000 0.000
Ac -7.156 0.972 2.664
```

Space-group type: No. 87

=====

# 10
Entry from Alexandria: a relaxed structure of Li2AcHg (PBE-GGA).

```
4
Lattice="-1.820 -3.142 2.957 -0.968 -4.332 -1.492 4.004 -4.064 1.854" Properties=species:S:1:pos:R:3 pbc="T T T"
Li 0.976 -3.099 1.016
Hg 0.608 -5.770 1.660
Li 0.240 -8.440 2.304
Ac 0.000 0.000 0.000
```

Energy above the lowest structure with this stoichiometry in meV per atom: 68.6
Space-group type: No. 166

=====

# 11
Entry from Alexandria: a relaxed structure of LiAc2Mg12Hg3 (PBE-GGA).

```
18
Lattice="12.469 3.299 2.340 9.027 9.213 2.340 9.027 5.254 7.921" Properties=species:S:1:pos:R:3 pbc="T T T"
Hg 4.513 2.627 3.960
Hg 4.513 4.606 1.170
Mg 9.643 3.631 2.575
Mg 16.334 11.291 6.119
Li 0.000 0.000 0.000
Mg 17.885 8.627 6.119
Mg 7.919 4.610 5.369
Ac 11.035 6.424 4.556
Mg 14.187 6.475 6.482
Mg 12.637 9.139 6.482
Hg 6.234 1.650 1.170
Ac 19.486 11.343 8.045
Mg 22.602 13.156 7.232
Mg 16.334 9.508 8.633
Mg 14.187 8.258 3.968
Mg 22.602 11.175 10.026
Mg 20.879 14.135 10.026
Mg 7.919 6.591 2.575
```

Space-group type: No. 166

=====

# 12
Entry from Alexandria: a relaxed structure of Li3Ac2MgHg4 (PBE-GGA).

```
10
Lattice="-2.794 -2.121 -3.089 -0.871 -3.380 3.109 -8.973 5.994 4.002" Properties=species:S:1:pos:R:3 pbc="T T T"
Li -4.486 2.997 2.001
Hg -3.609 0.430 2.970
Li -1.505 -0.976 2.031
Hg -1.833 -2.750 0.010
Li -9.301 4.219 1.980
Mg -6.319 0.247 2.011
Ac -3.501 0.345 -0.606
Hg -7.196 2.814 1.042
Ac -7.305 2.899 4.618
Hg 0.000 0.000 0.000
```

Space-group type: No. 115

=====

# 13
Entry from Alexandria: a relaxed structure of Li2AcMgHg (PBE-GGA).

```
5
Lattice="3.937 0.000 0.000 0.000 5.017 0.000 -1.968 -2.509 6.600" Properties=species:S:1:pos:R:3 pbc="T T T"
Li 1.968 0.000 2.759
Mg 0.000 2.509 2.351
Ac 0.000 0.000 5.734
Li 0.000 0.000 0.678
Hg 1.968 2.509 4.477
```

Space-group type: No. 44

=====

# 14
Entry from Alexandria: a relaxed structure of LiAcMgHg2 (PBE-GGA).

```
5
Lattice="4.420 0.000 0.000 0.000 4.420 0.000 -2.210 -2.210 6.714" Properties=species:S:1:pos:R:3 pbc="T T T"
Hg 0.000 0.000 5.153
Li 0.000 2.210 3.357
Hg 2.210 2.210 1.561
Mg 2.210 0.000 3.357
Ac 0.000 0.000 0.000
```

Space-group type: No. 119

=====

# 15
Entry from Alexandria: a relaxed structure of LiAc2Mg4Hg3 (PBE-GGA).

```
10
Lattice="-3.010 3.512 0.445 -1.900 -2.096 3.687 7.984 5.898 7.469" Properties=species:S:1:pos:R:3 pbc="T T T"
Mg -2.455 0.708 2.066
Mg 2.005 1.135 4.607
Ac 5.049 3.383 7.455
Mg 0.000 0.000 0.000
Li 1.537 3.657 5.800
Mg 3.524 5.471 4.927
Hg 0.185 -0.210 2.905
Hg 5.344 6.815 6.630
Ac 0.480 3.222 2.080
Hg 3.992 2.949 3.734
```

Space-group type: No. 115

=====

# 16
Entry from Alexandria: a relaxed structure of Li3Ac2Mg12Hg (PBE-GGA).

```
18
Lattice="13.409 4.064 2.882 10.156 9.653 2.882 10.156 5.912 8.158" Properties=species:S:1:pos:R:3 pbc="T T T"
Ac 12.008 6.989 4.958
Mg 23.233 15.395 10.920
Mg 18.219 10.605 9.405
Li 5.078 2.956 4.079
Li 5.078 4.827 1.441
Mg 19.764 9.727 6.900
Mg 8.861 7.029 3.003
Mg 18.219 12.382 6.900
Mg 15.502 9.024 4.517
Mg 24.860 12.599 10.920
Mg 8.861 5.158 5.642
Mg 10.488 4.233 3.003
Mg 13.957 9.901 7.023
Mg 24.860 14.471 8.281
Ac 21.713 12.639 8.965
Li 6.705 2.032 1.441
Hg 0.000 0.000 0.000
Mg 15.502 7.247 7.023
```

Space-group type: No. 166

=====

# 17
Entry from Alexandria: a relaxed structure of LiAc2HgN (PBE-GGA).

```
10
Lattice="-1.394 1.681 -3.250 -7.653 1.653 4.138 5.540 5.900 0.676" Properties=species:S:1:pos:R:3 pbc="T T T"
Hg 0.321 6.635 -0.244
Ac 0.628 3.239 0.226
Hg -3.828 2.599 1.807
Ac -4.136 5.996 1.337
N -1.097 2.660 -1.691
Li -1.014 5.495 2.098
Li -2.493 3.740 -0.534
Ac 3.696 6.408 0.550
Ac -7.203 2.826 1.014
N -2.411 6.574 3.255
```

Space-group type: No. 11

=====

# 18
Entry from Alexandria: a relaxed structure of Na2Li2Ac3Hg4 (PBE-GGA).

```
11
Lattice="-1.779 3.988 2.496 1.020 -4.262 2.468 14.540 4.926 2.495" Properties=species:S:1:pos:R:3 pbc="T T T"
Li 11.856 5.541 4.667
Hg 5.183 0.214 3.352
Ac 3.574 1.211 0.613
Ac 0.000 0.000 0.000
Li 1.925 -0.890 2.793
Hg 0.939 1.842 2.793
Hg 8.598 4.437 4.108
Na 5.516 3.393 3.579
Na 8.265 1.258 3.881
Hg 12.842 2.809 4.667
Ac 10.965 3.715 1.882
```

Space-group type: No. 164

=====

# 19
Entry from Alexandria: a relaxed structure of NaLiAcHg (PBE-GGA).

```
4
Lattice="5.489 0.000 0.000 2.744 4.753 0.000 2.744 1.584 4.482" Properties=species:S:1:pos:R:3 pbc="T T T"
Li 0.000 0.000 0.000
Ac 8.233 4.753 3.361
Hg 5.489 3.169 2.241
Na 2.744 1.584 1.120
```

Space-group type: No. 216

=====

# 20
Entry from Alexandria: a relaxed structure of LiAcNdHg (PBE-GGA).

```
4
Lattice="5.561 0.000 0.000 2.780 4.816 0.000 2.780 1.605 4.540" Properties=species:S:1:pos:R:3 pbc="T T T"
Li 0.000 0.000 0.000
Nd 2.780 1.605 1.135
Hg 5.561 3.210 2.270
Ac 8.341 4.816 3.405
```

Space-group type: No. 216

=====

# 21
Entry from Alexandria: a relaxed structure of Li2AcNd2Hg2 (PBE-GGA).

```
7
Lattice="4.909 0.000 0.000 2.454 4.251 0.000 2.454 1.417 9.450" Properties=species:S:1:pos:R:3 pbc="T T T"
Nd 2.454 1.417 5.791
Li 4.909 2.834 7.282
Hg 2.454 1.417 2.197
Ac 0.000 0.000 0.000
Li 4.909 2.834 2.168
Nd 7.363 4.251 3.659
Hg 7.363 4.251 7.253
```

Space-group type: No. 166

=====

no.,calculated total energy (eV per atom)
1,-2.466
2,-1.403
3,-1.897
4,-2.060
5,-1.249
6,-2.259
7,-2.107
8,-1.534
9,-2.553
10,-2.239
11,-1.641
12,-2.033
13,-2.147
14,-2.017
15,-2.017
16,-1.765
17,-4.372
18,-2.092
19,-2.033
20,-2.959
21,-2.807